## Li4Ni3SbP4O16 (GGA+U)

Data for a relaxed structure of Li4Ni3SbP4O16.

Cell: 6.2136 4.7642 10.4487 Å, 88.74 90.00 90.00°
Last column: nearest neighbours and their distance in Å.
Positions (direct):
O 0.2998 0.2828 0.1723  1 P 1.58
O 0.2995 0.2128 0.6405  1 P 1.56
O 0.2005 0.7722 0.3310  1 P 1.57
O 0.0000 0.7773 0.5382  1 P 1.59
O 0.7995 0.7722 0.3310  1 P 1.57
O 0.0000 0.2287 0.3949  1 P 1.53
O 0.0000 0.2618 0.9286  1 P 1.53
O 0.1958 0.7140 0.8461  1 P 1.58
O 0.7002 0.2828 0.1723  1 P 1.58
O 0.0000 0.7110 0.0587  1 P 1.55
O 0.7005 0.2128 0.6405  1 P 1.56
O 0.5000 0.7562 0.5846  1 P 1.53
O 0.8042 0.7140 0.8461  1 P 1.58
O 0.5000 0.7452 0.1070  1 P 1.55
O 0.5000 0.3080 0.9642  1 P 1.54
O 0.5000 0.2014 0.4359  1 P 1.56
Ni 0.5000 0.5599 0.7918  4 O 2.11-2.34
Ni 0.5000 0.9800 0.2734  6 O 2.02-2.19
Ni 0.0000 0.4742 0.2252  6 O 2.05-2.20
P 0.0000 0.5838 0.9232  4 O 1.53-1.58
P 0.0000 0.9071 0.3968  4 O 1.53-1.59
P 0.5000 0.0775 0.5755  4 O 1.53-1.56
P 0.5000 0.4211 0.1014  4 O 1.54-1.58
Li 0.7441 0.0077 0.0123  6 O 2.14-2.29
Li 0.2658 0.5028 0.4897  5 O 2.08-2.17
Li 0.7342 0.5028 0.4897  5 O 2.08-2.17
Li 0.2559 0.0077 0.0123  6 O 2.14-2.29
Sb 0.0000 0.0221 0.7171  5 O 2.21-2.32

Calculated values
total energy = -6.232 eV per atom
ρ = 3.788 g cm⁻³
SG = Pm